{"formula": "Ba2Cd", "functional": "SCAN", "state": "PBEsol geometry", "lattice_angstrom": [[5.7947, 0.0000, 0.0000], [0.0000, 7.8926, 0.0000], [0.0000, 0.0000, 10.8299]], "species": ["Ba", "Ba", "Ba", "Ba", "Ba", "Ba", "Ba", "Ba", "Cd", "Cd", "Cd", "Cd"], "fractional_positions": [[0.7500, 0.4729, 0.6934], [0.2500, 0.0271, 0.1934], [0.7500, 0.9729, 0.8066], [0.2500, 0.5271, 0.3066], [0.7500, 0.3320, 0.0700], [0.2500, 0.1680, 0.5700], [0.7500, 0.8320, 0.4300], [0.2500, 0.6680, 0.9300], [0.7500, 0.7768, 0.1080], [0.2500, 0.7232, 0.6080], [0.7500, 0.2768, 0.3920], [0.2500, 0.2232, 0.8920]], "sg": "Pnma (62)", "magnetic_moment_mub_per_fu": 0.0, "final_energy_ev_per_atom": -36.7583, "mass_density_g_cm3": 5.2}

{"formula": "Ba2HgP", "functional": "SCAN", "state": "PBEsol geometry", "lattice_angstrom": [[3.9927, 0.0000, 0.0000], [0.0000, 3.9927, 0.0000], [0.0000, 0.0000, 7.8430]], "species": ["P", "Hg", "Ba", "Ba"], "fractional_positions": [[0.5000, 0.5000, 0.0000], [0.5000, 0.5000, 0.5000], [0.0000, 0.0000, 0.2126], [0.0000, 0.0000, 0.7874]], "sg": "P4/mmm (123)", "polymorph_energy_kj_per_mol_atoms": 0.0, "magnetic_moment_mub_per_fu": 0.0, "mass_density_g_cm3": 6.7}